First-principles (PBE-GGA) data for an optimized crystal structure of Fe2AgS2, as listed in Alexandria via LeMat-Bulk.

a = 6.868 Å, b = 6.868 Å, c = 3.142 Å
α = 90.00°, β = 90.00°, γ = 90.00°
Space group P4/mbm (No. 127)
Asymmetric unit:
1 Fe 0.129 0.371 0.000 (multiplicity 4)
2 Ag 0.000 0.000 0.000 (multiplicity 2)
3 S 0.160 0.660 0.500 (multiplicity 4)

Summary:
formation energy (no corrections): 0.13 eV per atom